(1)
## Lu2BAu (PBE)

Data for an optimized crystal structure of Lu2BAu.

```
data_Lu2BAu
_cell_length_a 6.7064
_cell_length_b 6.7064
_cell_length_c 6.7064
_cell_angle_alpha 90.00
_cell_angle_beta 90.00
_cell_angle_gamma 90.00
_space_group_name_H-M_alt 'F -4 3 m'
_space_group_IT_number 216
_space_group_name_Hall 'F -4 2 3'
loop_
_atom_site_label
_atom_site_type_symbol
_atom_site_fract_x
_atom_site_fract_y
_atom_site_fract_z
_atom_site_occupancy
Lu1 Lu 0.0000 0.0000 0.0000 1
Lu2 Lu 0.2500 0.2500 0.2500 1
B1 B 0.0000 0.0000 0.5000 1
Au1 Au 0.2500 0.2500 0.7500 1
```

Computed properties:
* distance to the lowest polymorph of the same formula: 3.48 eV/f.u.
* M_tot: 0.116 μB per cell
* E_tot: -4.24 eV per atom
* volume: 18.85 Å³ per atom


(2)
## LuBAu2 (PBE)

Data for an optimized crystal structure of LuBAu2.

```
data_LuBAu2
_cell_length_a 6.5008
_cell_length_b 6.5008
_cell_length_c 6.5008
_cell_angle_alpha 90.00
_cell_angle_beta 90.00
_cell_angle_gamma 90.00
_space_group_name_H-M_alt 'F -4 3 m'
_space_group_IT_number 216
_space_group_name_Hall 'F -4 2 3'
loop_
_atom_site_label
_atom_site_type_symbol
_atom_site_fract_x
_atom_site_fract_y
_atom_site_fract_z
_atom_site_occupancy
Lu1 Lu 0.0000 0.0000 0.0000 1
B1 B 0.2500 0.2500 0.7500 1
Au1 Au 0.0000 0.0000 0.5000 1
Au2 Au 0.2500 0.2500 0.2500 1
```

Computed properties:
* M_tot: 0.002 μB per cell
* E_tot: -4.35 eV per atom
* volume: 17.17 Å³ per atom


(3)
## LuB2Au (PBE)

Data for an optimized crystal structure of LuB2Au.

```
data_LuB2Au
_cell_length_a 6.1957
_cell_length_b 6.1957
_cell_length_c 6.1957
_cell_angle_alpha 90.00
_cell_angle_beta 90.00
_cell_angle_gamma 90.00
_space_group_name_H-M_alt 'F -4 3 m'
_space_group_IT_number 216
_space_group_name_Hall 'F -4 2 3'
loop_
_atom_site_label
_atom_site_type_symbol
_atom_site_fract_x
_atom_site_fract_y
_atom_site_fract_z
_atom_site_occupancy
Lu1 Lu 0.0000 0.0000 0.0000 1
B1 B 0.0000 0.0000 0.5000 1
B2 B 0.2500 0.2500 0.2500 1
Au1 Au 0.2500 0.2500 0.7500 1
```

Computed properties:
* M_tot: 0.046 μB per cell
* E_tot: -4.45 eV per atom
* volume: 14.86 Å³ per atom


Which of these has the lowest volume? LuB2Au